Compound: CdAsSe2
Source: Alexandria via LeMat-Bulk
Functional: PBE-GGA
Structure: relaxed

Values from the calculation:
As for the space group: No. 47. The crystal system is orthorhombic. The calculation puts the energy relative to the elements, uncorrected at 0.33 eV per atom. The total magnetic moment is 0.0 Bohr magnetons per cell. The energy above the most stable polymorph in this dataset is 0.495 eV/atom.

a = 3.284 Å, b = 4.734 Å, c = 5.517 Å
α = 90.00°, β = 90.00°, γ = 90.00°
Fractional positions:
Cd 0.000 0.000 0.000
As 0.500 0.500 0.000
Se 0.000 0.500 0.500
Se 0.500 0.000 0.500

=====

Compound: CdAsSe2
Source: Alexandria via LeMat-Bulk
Functional: PBE-GGA
Structure: relaxed

Values from the calculation:
As for the space group: No. 69. The crystal system is orthorhombic. The calculation puts the energy relative to the elements, uncorrected at -0.08 eV per atom. The total magnetic moment is 0.0 Bohr magnetons per cell. The energy above the most stable polymorph in this dataset is 0.086 eV/atom.

a = 5.677 Å, b = 4.902 Å, c = 4.890 Å
α = 70.86°, β = 54.67°, γ = 54.47°
Fractional positions:
Cd 0.000 0.000 0.000
As 0.500 0.500 0.500
Se 0.000 0.500 0.500
Se 0.500 0.000 0.000